# PBEsol ZrCoS2N, optimized geometry
# Raw formation energy (eV per formula unit): -1.659
# Crystal system: tetragonal
data_ZrCoS2N
_cell_length_a 4.537
_cell_length_b 4.537
_cell_length_c 3.398
_cell_angle_alpha 90.00
_cell_angle_beta 90.00
_cell_angle_gamma 90.00
_symmetry_space_group_name_H-M 'P 1'
_symmetry_Int_Tables_number 1
_symmetry_space_group_name_Hall 'P 1'
loop_
_atom_site_label
_atom_site_type_symbol
_atom_site_fract_x
_atom_site_fract_y
_atom_site_fract_z
Zr1 Zr 0.000 0.000 0.000
Co1 Co 0.500 0.500 0.500
S1 S 0.000 0.500 0.500
S2 S 0.500 0.000 0.500
N1 N 0.500 0.500 0.000